The following is a PBE with a Hubbard U calculation of crystalline La2FePbF at its relaxed geometry, from the Alexandria database.

For the total energy, the calculation gives -20.6 eV for the cell shown. The total moment is 2.96 μB per formula unit.

The structure belongs to space group P4/mmm (No. 123); the cell edges are 6.271, 6.271 and 4.615 Å and the angles 90.00°, 90.00° and 90.00°. The asymmetric unit holds La at (0.000, 0.500, 0.000), Fe at (0.000, 0.000, 0.500), Pb at (0.500, 0.500, 0.000) and F at (0.500, 0.500, 0.500).